Entry A
Computed, not measured: a relaxed structure of NaH4Au at the PBE level of DFT.

a = 6.3188 Å, b = 8.2780 Å, c = 5.7778 Å
α = 90.00°, β = 90.00°, γ = 103.36°
Closest atoms and distances in Å follow each position.
Sites, in units of the cell vectors:
H  0.7479  0.3123  0.6162  1 Au 1.66
H  0.8110  0.5011  0.3060  1 Au 1.64
H  0.6890  0.9989  0.8060  1 Au 1.64
H  0.1890  0.4989  0.6940  1 Au 1.64
H  0.9623  0.9065  0.3242  1 Au 1.65
H  0.1047  0.2941  0.9742  1 Au 1.65
H  0.6047  0.7941  0.5258  1 Au 1.65
H  0.0377  0.0935  0.6758  1 Au 1.65
H  0.3953  0.2059  0.4742  1 Au 1.65
H  0.2479  0.8123  0.8838  1 Au 1.66
H  0.8953  0.7059  0.0258  1 Au 1.65
H  0.7521  0.1877  0.1162  1 Au 1.66
H  0.5377  0.5935  0.8242  1 Au 1.65
H  0.4623  0.4065  0.1758  1 Au 1.65
H  0.2521  0.6877  0.3838  1 Au 1.66
H  0.3110  0.0011  0.1940  1 Au 1.64
Na  0.4198  0.1937  0.8781  6 H 2.34-2.57
Na  0.0802  0.3063  0.3781  6 H 2.34-2.57
Na  0.5802  0.8063  0.1219  6 H 2.34-2.57
Na  0.9198  0.6937  0.6219  6 H 2.34-2.57
Au  0.6036  0.3557  0.3938  4 H 1.64-1.66
Au  0.1036  0.8557  0.1062  4 H 1.64-1.66
Au  0.3964  0.6443  0.6062  4 H 1.64-1.66
Au  0.8964  0.1443  0.8938  4 H 1.64-1.66

## Properties
**Symmetry**: P2_1/c
**Size of the total moment**: 0.00 μB per formula unit



Entry B
Computed, not measured: a relaxed structure of NaH4Au at the PBE level of DFT.

a = 4.5429 Å, b = 6.7488 Å, c = 5.1870 Å
α = 90.00°, β = 90.00°, γ = 111.68°
Closest atoms and distances in Å follow each position.
Sites, in units of the cell vectors:
H  0.7767  0.5958  0.0220  1 Au 1.64
H  0.2233  0.9042  0.0220  1 Au 1.64
H  0.7767  0.0958  0.9780  1 Au 1.64
H  0.2237  0.4040  0.5265  1 Au 1.64
H  0.2237  0.9040  0.4735  1 Au 1.64
H  0.7763  0.5960  0.4735  1 Au 1.64
H  0.2233  0.4042  0.9780  1 Au 1.64
H  0.7763  0.0960  0.5265  1 Au 1.64
Au  0.0000  0.7500  0.2478  4 H 1.64
Au  0.0000  0.2500  0.7522  4 H 1.64
Na  0.5000  0.7500  0.7491  8 H 2.37-2.50
Na  0.5000  0.2500  0.2509  8 H 2.37-2.50

## Properties
**Symmetry**: P2/c
**Size of the total moment**: 0.00 μB per formula unit



Name the most stable of them. entry A.



Entry A
Computed, not measured: a relaxed structure of NaH3Au at the PBE level of DFT.

a = 3.5527 Å, b = 5.5353 Å, c = 7.1282 Å
α = 98.92°, β = 104.48°, γ = 71.25°
Closest atoms and distances in Å follow each position.
Sites, in units of the cell vectors:
H  0.4848  0.7342  0.2281  1 Au 1.66
H  0.1645  0.0301  0.8844  1 H 0.76
H  0.2685  0.6495  0.7121  1 Au 1.65
H  0.2122  0.0461  0.9949  1 H 0.76
H  0.7876  0.1008  0.2005  1 Au 1.65
H  0.5411  0.0186  0.6245  1 Au 1.66
Na  0.8517  0.7145  0.9419  9 H 2.39-2.65
Na  0.0265  0.8696  0.4458  6 H 2.16-2.40
Au  0.3989  0.3361  0.6588  2 H 1.65-1.66
Au  0.6422  0.4170  0.2256  2 H 1.65-1.66

## Properties
**Symmetry**: Cm
**Size of the total moment**: 0.00 μB per formula unit



Entry B
Computed, not measured: a relaxed structure of NaH3Au at the PBE level of DFT.

a = 5.0624 Å, b = 3.7757 Å, c = 7.1418 Å
α = 90.00°, β = 90.00°, γ = 90.00°
Closest atoms and distances in Å follow each position.
Sites, in units of the cell vectors:
H  0.5000  0.3335  0.0295  1 H 1.26
H  0.0000  0.1665  0.9705  1 H 1.26
H  0.0000  0.8335  0.9705  1 H 1.26
H  0.5000  0.0000  0.4301  1 Au 1.67
H  0.0000  0.5000  0.5699  1 Au 1.67
H  0.5000  0.6665  0.0295  1 H 1.26
Na  0.0000  0.5000  0.2649  1 H 2.18
Na  0.5000  0.0000  0.7351  1 H 2.18
Au  0.0000  0.5000  0.8033  3 H 1.67-1.74
Au  0.5000  0.0000  0.1967  3 H 1.67-1.74

## Properties
**Symmetry**: Pmmn
**Size of the total moment**: 0.00 μB per formula unit



Name the most stable of them. entry A.



Entry A
Computed, not measured: a relaxed structure of NaH3Au at the PBE level of DFT.

a = 6.4478 Å, b = 3.6043 Å, c = 6.4477 Å
α = 73.79°, β = 101.24°, γ = 73.80°
Closest atoms and distances in Å follow each position.
Sites, in units of the cell vectors:
Au  0.1366  0.4934  0.7847  2 H 1.65-1.66
Au  0.7144  0.9155  0.3624  2 H 1.65-1.66
H  0.5897  0.6525  0.0138  1 H 0.77
H  0.4852  0.7562  0.9093  1 H 0.77
H  0.5399  0.9238  0.5197  1 Au 1.65
H  0.2994  0.4974  0.6137  1 Au 1.66
H  0.8854  0.9117  0.1997  1 Au 1.66
H  0.9793  0.4850  0.9592  1 Au 1.65
Na  0.7115  0.2044  0.7876  10 H 2.46-2.53
Na  0.1469  0.2048  0.3522  6 H 2.35-2.42

## Properties
**Symmetry**: Imm2
**Size of the total moment**: 0.00 μB per formula unit



Entry B
Computed, not measured: a relaxed structure of NaH3Au at the PBE level of DFT.

a = 3.5823 Å, b = 3.5823 Å, c = 10.1260 Å
α = 90.00°, β = 90.00°, γ = 120.00°
Closest atoms and distances in Å follow each position.
Sites, in units of the cell vectors:
Na  0.0000  0.0000  0.5000  6 H 2.24
Na  0.0000  0.0000  0.0000  6 H 2.24
H  0.0000  0.0000  0.2500  3 Au 2.07
H  0.0000  0.0000  0.7500  3 Au 2.07
H  0.3333  0.6667  0.5862  1 Au 1.66
H  0.3333  0.6667  0.9138  1 Au 1.66
H  0.6667  0.3333  0.0862  1 Au 1.66
H  0.6667  0.3333  0.4138  1 Au 1.66
Au  0.6667  0.3333  0.2500  2 H 1.66
Au  0.3333  0.6667  0.7500  2 H 1.66

## Properties
**Symmetry**: P6_3/mmc
**Size of the total moment**: 0.00 μB per formula unit



Entry C
Computed, not measured: a relaxed structure of NaH3Au at the PBE level of DFT.

a = 3.7519 Å, b = 3.7519 Å, c = 3.7519 Å
α = 90.00°, β = 90.00°, γ = 90.00°
Closest atoms and distances in Å follow each position.
Sites, in units of the cell vectors:
Au  0.0000  0.0000  0.0000  6 H 1.88
Na  0.5000  0.5000  0.5000  12 H 2.65
H  0.0000  0.0000  0.5000  2 Au 1.88
H  0.0000  0.5000  0.0000  2 Au 1.88
H  0.5000  0.0000  0.0000  2 Au 1.88

## Properties
**Symmetry**: Pm-3m
**Size of the total moment**: 0.00 μB per formula unit



Name the most stable of them. entry A.